No. 1
VASP calculation (PBE) on crystalline AcTb5Pr8 at its relaxed geometry.

Unit cell a=8.7288 b=8.7325 c=8.7290 alpha=111.48 beta=105.48 gamma=111.50
Sites, in units of the cell vectors:
Tb1 0.8138 0.6817 0.7248
Tb2 0.8678 0.9109 0.1860
Tb3 0.2751 0.0891 0.9569
Tb4 0.0431 0.3183 0.1321
Tb5 0.5000 0.0000 0.5000
Pr1 0.5805 0.9235 0.8430
Pr2 0.1573 0.7378 0.0806
Pr3 0.5319 0.6038 0.2792
Pr4 0.6754 0.3962 0.9281
Pr5 0.7210 0.2529 0.3247
Pr6 0.9195 0.0765 0.6570
Pr7 0.0718 0.7471 0.4681
Pr8 0.3428 0.2622 0.4195
Ac1 0.2500 0.5000 0.7500

Computed properties:
As for the space group: I-4, No. 82. The formation energy comes out at 0.24 eV per atom.


No. 2
VASP calculation (PBE) on crystalline AcTbPr at its relaxed geometry.

Unit cell a=3.7914 b=5.2654 c=6.4975 alpha=113.90 beta=106.96 gamma=90.00
Sites, in units of the cell vectors:
Pr1 0.3296 0.3296 0.6593
Tb1 0.6697 0.6697 0.3394
Ac1 0.0007 0.0007 0.0013

Computed properties:
As for the space group: Imm2, No. 44. The formation energy comes out at 0.04 eV per atom. As for the energy above the most stable polymorph in this dataset: 0 meV per atom.


No. 3
VASP calculation (PBE) on crystalline AcTb7Pr4 at its relaxed geometry.

Unit cell a=6.1455 b=11.6954 c=6.9187 alpha=83.44 beta=63.63 gamma=74.77
Sites, in units of the cell vectors:
Pr1 0.6314 0.2236 0.5136
Pr2 0.7564 0.6764 0.8108
Pr3 0.3686 0.7764 0.4864
Pr4 0.2436 0.3236 0.1892
Tb1 0.6326 0.4984 0.2363
Tb2 0.3674 0.5016 0.7637
Tb3 0.5000 0.0000 0.0000
Tb4 0.0585 0.6666 0.2165
Tb5 0.9415 0.3334 0.7835
Tb6 0.2165 0.0786 0.4884
Tb7 0.7835 0.9214 0.5116
Ac1 0.0000 0.0000 0.0000

Computed properties:
As for the space group: C2/m, No. 12. The formation energy comes out at 0.28 eV per atom. As for the energy above the most stable polymorph in this dataset: 254 meV per atom.


E_tot in eV/atom, matching the order above: -4.4423 -4.4676 -4.3596